# SrMg2F

A geometry-optimized SrMg2F structure (GGA-PBEsol, Alexandria via LeMat-Bulk).

## Properties
V ... 27.67 Å³/atom
E_form (uncorrected) ... -0.33 eV per atom
Distance to the lowest polymorph of the same formula ... 68.5 kJ/mol of atoms

a b c (Å): 5.389 5.389 5.389
angles (deg): 60.00 60.00 60.00
Sites, in units of the cell vectors:
Sr: 0.000 0.000 0.000
Mg: 0.250 0.250 0.250
Mg: 0.750 0.750 0.750
F: 0.500 0.500 0.500


# SrMg2F

A geometry-optimized SrMg2F structure (GGA-PBEsol, Alexandria via LeMat-Bulk).

## Properties
V ... 26.90 Å³/atom
E_form (uncorrected) ... -1.04 eV per atom
Distance to the lowest polymorph of the same formula ... 0.0 kJ/mol of atoms

a b c (Å): 6.727 6.727 6.727
angles (deg): 60.00 60.00 60.00
Sites, in units of the cell vectors:
Sr: 0.125 0.125 0.125
Sr: 0.875 0.875 0.875
Mg: 0.000 0.500 0.500
Mg: 0.500 0.000 0.500
Mg: 0.500 0.500 0.000
Mg: 0.500 0.500 0.500
F: 0.375 0.375 0.375
F: 0.625 0.625 0.625


# SrMgF4

A geometry-optimized SrMgF4 structure (GGA-PBEsol, Alexandria via LeMat-Bulk).

## Properties
V ... 13.59 Å³/atom
E_form (uncorrected) ... -3.70 eV per atom

a b c (Å): 7.625 7.625 5.506
angles (deg): 90.00 90.00 149.38
Sites, in units of the cell vectors:
Sr: 0.167 0.833 0.750
Sr: 0.833 0.167 0.250
Mg: 0.410 0.590 0.750
Mg: 0.590 0.410 0.250
F: 0.102 0.898 0.250
F: 0.312 0.688 0.501
F: 0.312 0.688 0.999
F: 0.500 0.500 0.000
F: 0.500 0.500 0.500
F: 0.688 0.312 0.001
F: 0.688 0.312 0.499
F: 0.898 0.102 0.750


# SrMgTe2F

A geometry-optimized SrMgTe2F structure (GGA-PBEsol, Alexandria via LeMat-Bulk).

## Properties
V ... 33.32 Å³/atom
E_form (uncorrected) ... -1.00 eV per atom

a b c (Å): 6.195 6.195 4.341
angles (deg): 90.00 90.00 90.00
Sites, in units of the cell vectors:
Sr: 0.000 0.000 0.000
Mg: 0.500 0.500 0.500
Te: 0.000 0.500 0.000
Te: 0.500 0.000 0.000
F: 0.000 0.000 0.500


# MgTaF2

A geometry-optimized MgTaF2 structure (GGA-PBEsol, Alexandria via LeMat-Bulk).

## Properties
V ... 13.40 Å³/atom
E_form (uncorrected) ... -0.42 eV per atom

a b c (Å): 4.232 4.232 4.232
angles (deg): 60.00 60.00 60.00
Sites, in units of the cell vectors:
Mg: 0.000 0.000 0.000
Ta: 0.500 0.500 0.500
F: 0.250 0.250 0.250
F: 0.750 0.750 0.750


# Y2MgTcF

A geometry-optimized Y2MgTcF structure (GGA-PBEsol, Alexandria via LeMat-Bulk).

## Properties
V ... 19.22 Å³/atom
E_form (uncorrected) ... -0.49 eV per atom

a b c (Å): 4.791 4.791 4.185
angles (deg): 90.00 90.00 90.00
Sites, in units of the cell vectors:
Y: 0.000 0.500 0.000
Y: 0.500 0.000 0.000
Mg: 0.000 0.000 0.500
Tc: 0.500 0.500 0.500
F: 0.500 0.500 0.000


# MgTiF6

A geometry-optimized MgTiF6 structure (GGA-PBEsol, Alexandria via LeMat-Bulk).

## Properties
V ... 13.96 Å³/atom
E_form (uncorrected) ... -3.49 eV per atom

a b c (Å): 5.428 5.428 5.428
angles (deg): 59.45 59.45 59.45
Sites, in units of the cell vectors:
Mg: 0.000 0.000 0.000
Ti: 0.500 0.500 0.500
F: 0.213 0.302 0.743
F: 0.257 0.787 0.698
F: 0.302 0.743 0.213
F: 0.698 0.257 0.787
F: 0.743 0.213 0.302
F: 0.787 0.698 0.257


# MgZr2TiF

A geometry-optimized MgZr2TiF structure (GGA-PBEsol, Alexandria via LeMat-Bulk).

## Properties
V ... 20.96 Å³/atom
E_form (uncorrected) ... 0.31 eV per atom

a b c (Å): 5.502 5.502 3.462
angles (deg): 90.00 90.00 90.00
Sites, in units of the cell vectors:
Mg: 0.000 0.000 0.000
Zr: 0.000 0.500 0.000
Zr: 0.500 0.000 0.000
Ti: 0.500 0.500 0.500
F: 0.000 0.000 0.500